1.
DFT (PBE) results for crystalline Dy2Al8Co at its relaxed geometry.

Output
Spin magnetization, μB per atom: 0.00
Crystal system: tetragonal
SG: No. 123
Raw total energy, Ry/atom: -0.3421

a b c (Å): 4.2177 4.2177 11.1292
angles (deg): 90.00 90.00 90.00
With the nearest neighbours (Å) after each atom.
Fractional positions:
Al (0.5000, 0.0000, 0.8841)  2 Co 2.47, 1 Al 2.58
Al (0.5000, 0.5000, 0.3063)  4 Dy 2.98, 8 Al 2.99-3.02
Dy (0.0000, 0.0000, 0.6929)  12 Al 2.98-3.01
Al (0.0000, 0.5000, 0.5000)  8 Al 2.98-3.02, 4 Dy 3.01
Al (0.5000, 0.0000, 0.1159)  2 Co 2.47, 1 Al 2.58
Al (0.5000, 0.5000, 0.6937)  4 Dy 2.98, 8 Al 2.99-3.02
Al (0.0000, 0.5000, 0.8841)  2 Co 2.47, 1 Al 2.58
Al (0.5000, 0.0000, 0.5000)  8 Al 2.98-3.02, 4 Dy 3.01
Co (0.0000, 0.0000, 0.0000)  8 Al 2.47
Al (0.0000, 0.5000, 0.1159)  2 Co 2.47, 1 Al 2.58
Dy (0.0000, 0.0000, 0.3071)  12 Al 2.98-3.01

=====

2.
DFT (PBE) results for crystalline Dy2AlCo3 at its relaxed geometry.

Output
Spin magnetization, μB per atom: 0.01
Crystal system: trigonal
SG: No. 166
Offset from the most stable computed form, meV/atom: 8

a b c (Å): 4.9591 4.9591 4.9591
angles (deg): 65.06 65.06 65.06
With the nearest neighbours (Å) after each atom.
Fractional positions:
Co (0.0000, 0.0000, 0.5000)  2 Al 2.48, 4 Co 2.67
Dy (0.3712, 0.3712, 0.3712)  9 Co 2.84-3.06, 1 Dy 3.00, 3 Al 3.11
Dy (0.6288, 0.6288, 0.6288)  9 Co 2.84-3.06, 1 Dy 3.00, 3 Al 3.11
Al (0.0000, 0.0000, 0.0000)  6 Co 2.48
Co (0.5000, 0.0000, 0.0000)  2 Al 2.48, 4 Co 2.67
Co (0.0000, 0.5000, 0.0000)  2 Al 2.48, 4 Co 2.67

=====

3.
DFT (PBE) results for crystalline DyAl3FeCo at its relaxed geometry.

Output
Spin magnetization, μB per atom: 0.00
Crystal system: orthorhombic
SG: No. 63
Raw total energy, Ry/atom: -0.3977

a b c (Å): 5.5273 7.5346 6.2973
angles (deg): 126.74 90.00 90.00
With the nearest neighbours (Å) after each atom.
Fractional positions:
Al (0.0000, 0.2556, 0.0000)  2 Co 2.39, 2 Fe 2.42
Al (0.2500, 0.1950, 0.3899)  1 Co 2.26, 1 Fe 2.33
Co (0.2500, 0.9709, 0.9417)  5 Al 2.26-2.39
Al (0.0000, 0.7444, 0.0000)  2 Co 2.39, 2 Fe 2.42
Fe (0.2500, 0.4261, 0.8523)  5 Al 2.33-2.42
Co (0.7500, 0.0291, 0.0583)  5 Al 2.26-2.39
Al (0.5000, 0.2556, 0.0000)  2 Co 2.39, 2 Fe 2.42
Al (0.5000, 0.7444, 0.0000)  2 Co 2.39, 2 Fe 2.42
Al (0.7500, 0.8050, 0.6101)  1 Co 2.26, 1 Fe 2.33
Dy (0.2500, 0.7100, 0.4200)  1 Co 2.63, 1 Fe 2.86, 2 Al 2.93
Fe (0.7500, 0.5739, 0.1477)  5 Al 2.33-2.42
Dy (0.7500, 0.2900, 0.5800)  1 Co 2.63, 1 Fe 2.86, 2 Al 2.93

=====

4.
DFT (PBE) results for crystalline DyAl2GaCo2 at its relaxed geometry.

Output
Spin magnetization, μB per atom: 0.26
Crystal system: tetragonal
SG: No. 123
Raw total energy, Ry/atom: -0.3736

a b c (Å): 4.3435 4.3435 5.5529
angles (deg): 90.00 90.00 90.00
With the nearest neighbours (Å) after each atom.
Fractional positions:
Al (0.5000, 0.5000, 0.7499)  4 Co 2.58, 2 Al 2.78
Co (0.5000, 0.0000, 0.0000)  2 Ga 2.17
Dy (0.0000, 0.0000, 0.5000)  2 Ga 2.78
Co (0.0000, 0.5000, 0.0000)  2 Ga 2.17
Ga (0.0000, 0.0000, 0.0000)  4 Co 2.17
Al (0.5000, 0.5000, 0.2501)  4 Co 2.58, 2 Al 2.78

=====

5.
DFT (PBE) results for crystalline Dy3Al3Ga2Co at its relaxed geometry.

Output
Spin magnetization, μB per atom: 0.00
Crystal system: hexagonal
SG: No. 189
Raw total energy, Ry/atom: -0.3583

a b c (Å): 4.2680 6.9046 6.9046
angles (deg): 120.00 90.00 90.00
With the nearest neighbours (Å) after each atom.
Fractional positions:
Al (0.5000, 0.2276, 0.2276)  2 Co 2.65, 2 Al 2.72, 2 Ga 2.74
Al (0.5000, 0.7724, 0.0000)  2 Co 2.65, 2 Al 2.72, 2 Ga 2.74
Dy (0.0000, 0.4040, 0.0000)  1 Co 2.79, 4 Ga 2.99
Al (0.5000, 0.0000, 0.7724)  2 Co 2.65, 2 Al 2.72, 2 Ga 2.74
Co (0.0000, 0.0000, 0.0000)  6 Al 2.65, 3 Dy 2.79
Ga (0.5000, 0.3333, 0.6667)  3 Al 2.74, 6 Dy 2.99
Dy (0.0000, 0.5960, 0.5960)  1 Co 2.79, 4 Ga 2.99
Ga (0.5000, 0.6667, 0.3333)  3 Al 2.74, 6 Dy 2.99
Dy (0.0000, 0.0000, 0.4040)  1 Co 2.79, 4 Ga 2.99

=====

6.
DFT (PBE) results for crystalline Dy2AlGa2Co5 at its relaxed geometry.

Output
Spin magnetization, μB per atom: 0.06
Crystal system: tetragonal
SG: No. 127
Raw total energy, Ry/atom: -0.4185

a b c (Å): 3.2945 9.5176 9.5176
angles (deg): 90.00 90.00 90.00
With the nearest neighbours (Å) after each atom.
Fractional positions:
Co (0.5000, 0.4386, 0.2993)  2 Ga 2.42, 2 Al 2.59
Co (0.5000, 0.7007, 0.4386)  2 Ga 2.42, 2 Al 2.59
Ga (0.0000, 0.6244, 0.8756)  6 Co 2.35-2.42
Ga (0.0000, 0.1244, 0.6244)  6 Co 2.35-2.42
Dy (0.0000, 0.6737, 0.1737)  3 Ga 2.72-2.88, 10 Co 2.86-3.02
Co (0.5000, 0.0000, 0.5000)  4 Ga 2.35
Dy (0.0000, 0.8263, 0.6737)  3 Ga 2.72-2.88, 10 Co 2.86-3.02
Dy (0.0000, 0.1737, 0.3263)  3 Ga 2.72-2.88, 10 Co 2.86-3.02
Co (0.5000, 0.5614, 0.7007)  2 Ga 2.42, 2 Al 2.59
Co (0.5000, 0.0614, 0.7993)  2 Ga 2.42, 2 Al 2.59
Co (0.5000, 0.2007, 0.0614)  2 Ga 2.42, 2 Al 2.59
Ga (0.0000, 0.8756, 0.3756)  6 Co 2.35-2.42
Al (0.0000, 0.5000, 0.5000)  8 Co 2.59
Co (0.5000, 0.5000, 0.0000)  4 Ga 2.35
Co (0.5000, 0.9386, 0.2007)  2 Ga 2.42, 2 Al 2.59
Al (0.0000, 0.0000, 0.0000)  8 Co 2.59
Ga (0.0000, 0.3756, 0.1244)  6 Co 2.35-2.42
Dy (0.0000, 0.3263, 0.8263)  3 Ga 2.72-2.88, 10 Co 2.86-3.02
Co (0.5000, 0.7993, 0.9386)  2 Ga 2.42, 2 Al 2.59
Co (0.5000, 0.2993, 0.5614)  2 Ga 2.42, 2 Al 2.59

=====

no.,volume (Å³/atom)
1,18.0
2,16.0
3,17.5
4,17.5
5,19.6
6,14.9